The following is a PBE-GGA calculation of crystalline SbMo at its relaxed geometry, from the Alexandria database.

Structure (extended XYZ):
```
8
Lattice="-4.1683 4.1683 4.1683 4.1683 -4.1683 4.1683 4.1683 4.1683 -4.1683" Properties=species:S:1:pos:R:3 pbc="T T T"
Sb 1.6432 1.6432 -1.6432
Sb 1.6432 -1.6432 1.6432
Sb -1.6432 1.6432 1.6432
Sb 2.5251 2.5251 2.5251
Mo 3.2604 3.2604 -3.2604
Mo 3.2604 -3.2604 3.2604
Mo 0.9078 0.9078 0.9078
Mo -3.2604 3.2604 3.2604
```

Values from the calculation:
Energy relative to the elements, uncorrected   0.574 eV/atom
Space group   I-43m (217)
Energy   -6.902 eV per atom
DOS(E_F)   0.164 states/eV/atom